Here is a PBEsol-optimized structure of KV12O30 from the Alexandria database. Energies are from SCAN.

abc: 10.603 10.603 14.930
angles: 90.00 90.00 120.00
Sites, in units of the cell vectors:
V (0.253, 0.353, 0.118)
O (0.700, 0.924, 0.660)
V (0.900, 0.647, 0.618)
V (0.647, 0.900, 0.118)
O (0.776, 0.700, 0.660)
O (0.924, 0.224, 0.340)
O (0.662, 0.756, 0.500)
O (0.700, 0.924, 0.340)
O (0.369, 0.515, 0.146)
O (0.146, 0.631, 0.146)
O (0.076, 0.776, 0.660)
O (0.906, 0.662, 0.500)
O (0.094, 0.756, 0.000)
O (0.854, 0.369, 0.854)
V (0.747, 0.100, 0.382)
O (0.369, 0.854, 0.646)
V (0.900, 0.253, 0.882)
O (0.076, 0.300, 0.840)
V (0.747, 0.100, 0.618)
V (0.353, 0.100, 0.118)
O (0.300, 0.076, 0.340)
O (0.700, 0.776, 0.160)
O (0.776, 0.076, 0.160)
O (0.662, 0.906, 0.000)
O (0.485, 0.631, 0.646)
O (0.756, 0.662, 0.000)
O (0.094, 0.338, 0.500)
O (0.854, 0.485, 0.646)
O (0.076, 0.300, 0.160)
V (0.253, 0.900, 0.382)
O (0.515, 0.146, 0.146)
O (0.485, 0.631, 0.354)
V (0.647, 0.747, 0.382)
O (0.631, 0.146, 0.646)
O (0.244, 0.338, 0.000)
O (0.485, 0.854, 0.854)
V (0.253, 0.900, 0.618)
O (0.485, 0.854, 0.146)
K (0.000, 0.000, 0.750)
O (0.776, 0.700, 0.340)
O (0.515, 0.146, 0.854)
O (0.146, 0.631, 0.854)
O (0.700, 0.776, 0.840)
O (0.146, 0.515, 0.354)
O (0.369, 0.515, 0.854)
V (0.900, 0.647, 0.382)
V (0.647, 0.900, 0.882)
O (0.515, 0.369, 0.354)
V (0.900, 0.253, 0.118)
O (0.300, 0.224, 0.160)
O (0.244, 0.906, 0.500)
V (0.647, 0.747, 0.618)
O (0.924, 0.224, 0.660)
O (0.300, 0.076, 0.660)
O (0.924, 0.700, 0.840)
O (0.906, 0.244, 0.000)
O (0.300, 0.224, 0.840)
O (0.854, 0.485, 0.354)
O (0.224, 0.300, 0.660)
V (0.100, 0.353, 0.618)
O (0.224, 0.924, 0.160)
O (0.776, 0.076, 0.840)
V (0.353, 0.100, 0.882)
V (0.253, 0.353, 0.882)
V (0.747, 0.647, 0.118)
O (0.515, 0.369, 0.646)
O (0.338, 0.244, 0.500)
O (0.369, 0.854, 0.354)
V (0.100, 0.353, 0.382)
O (0.631, 0.485, 0.146)
V (0.100, 0.747, 0.118)
O (0.924, 0.700, 0.160)
O (0.631, 0.146, 0.354)
V (0.747, 0.647, 0.882)
O (0.854, 0.369, 0.146)
O (0.756, 0.094, 0.500)
V (0.353, 0.253, 0.618)
V (0.100, 0.747, 0.882)
O (0.224, 0.300, 0.340)
O (0.146, 0.515, 0.646)
V (0.353, 0.253, 0.382)
K (0.000, 0.000, 0.250)
O (0.076, 0.776, 0.340)
O (0.631, 0.485, 0.854)
O (0.224, 0.924, 0.840)
O (0.338, 0.094, 0.000)

Values from the calculation:
space-group type: No. 192
density of states at the Fermi level: 12.27 states/eV per cell
calculated total energy: -11.8157 eV/atom
volume: 1453.55 Å³/cell